[1]
Here is crystalline CsHS2O6F2 at its relaxed geometry from Alexandria. Energies are from PBE.

Computed properties:
Total energy, eV/atom: -5.431
V, Å³/cell: 413.9

Unit cell a=7.958 b=7.958 c=9.725 alpha=57.04 beta=57.04 gamma=59.62
Atoms (fractional coordinates):
O  0.289  0.871  0.351
S  0.512  0.833  0.279
F  0.591  0.611  0.797
O  0.129  0.711  0.149
O  0.871  0.289  0.851
S  0.833  0.512  0.779
O  0.711  0.129  0.649
O  0.942  0.603  0.583
Cs  0.117  0.883  0.750
F  0.389  0.409  0.703
S  0.167  0.488  0.221
F  0.409  0.389  0.203
O  0.601  0.844  0.368
O  0.058  0.397  0.417
H  0.000  0.500  0.500
Cs  0.883  0.117  0.250
O  0.603  0.942  0.083
O  0.397  0.058  0.917
O  0.399  0.156  0.632
H  0.500  0.000  0.000
O  0.156  0.399  0.132
F  0.611  0.591  0.297
S  0.488  0.167  0.721
O  0.844  0.601  0.868



[2]
Here is crystalline ErMg4Zn2 at its relaxed geometry from Alexandria. Energies are from PBE.

Computed properties:
Total energy, eV/atom: -2.058
Energy of formation, eV/atom: -0.13
V, Å³/cell: 150.3

Unit cell a=4.250 b=4.248 c=8.592 alpha=104.31 beta=90.00 gamma=90.00
Atoms (fractional coordinates):
Zn  0.500  0.428  0.856
Mg  0.000  0.678  0.356
Mg  0.000  0.322  0.644
Er  0.000  0.000  0.000
Mg  0.500  0.823  0.646
Zn  0.500  0.572  0.144
Mg  0.500  0.177  0.354



[3]
Here is crystalline Y3Ga3Ni at its relaxed geometry from Alexandria. Energies are from PBE.

Computed properties:
Total energy, eV/atom: -5.535
Energy of formation, eV/atom: -0.64
V, Å³/cell: 304.0

Unit cell a=4.272 b=5.757 c=13.492 alpha=84.72 beta=80.89 gamma=68.22
Atoms (fractional coordinates):
Y  0.530  0.325  0.615
Ga  0.850  0.759  0.541
Ga  0.110  0.856  0.923
Y  0.605  0.712  0.078
Y  0.470  0.675  0.385
Ga  0.150  0.241  0.459
Ga  0.036  0.164  0.763
Y  0.258  0.250  0.235
Ga  0.964  0.836  0.237
Y  0.395  0.288  0.922
Ni  0.247  0.901  0.606
Ni  0.753  0.099  0.394
Ga  0.890  0.144  0.077
Y  0.742  0.750  0.765



[4]
Here is crystalline DyHoNp2Sb4 at its relaxed geometry from Alexandria. Energies are from PBE.

Computed properties:
Total energy, eV/atom: -7.096
V, Å³/cell: 238.8

Unit cell a=4.377 b=7.575 c=7.632 alpha=109.33 beta=90.00 gamma=90.00
Site moments in Bohr magnetons follow the coordinates.
Atoms (fractional coordinates):
Sb  0.500  0.250  0.249  0.07
Dy  0.000  0.000  0.000  0.03
Sb  0.500  0.750  0.751  0.07
Ho  0.500  0.500  0.000  0.04
Sb  0.000  0.749  0.248  0.07
Np  0.000  0.500  0.500  -3.88
Sb  0.000  0.251  0.752  0.07
Np  0.500  0.000  0.500  -3.88